Record 1
! PmSmY3, optimized geometry, DFT GGA-PBE; values from VASP
! offset from the most stable computed form = 292 meV/atom
! space-group type = P2_1/m
&SYSTEM
  ibrav = 0, nat = 10, ntyp = 3
/
ATOMIC_SPECIES
Y 88.91 Y.upf
Sm 150.36 Sm.upf
Pm 145.00 Pm.upf
CELL_PARAMETERS angstrom
3.668 0.034 0.000
-1.749 8.307 0.000
0.000 0.000 11.681
ATOMIC_POSITIONS crystal
Y 0.832 0.194 0.500
Y 0.168 0.806 0.500
Y 0.710 0.817 0.250
Y 0.168 0.806 0.000
Y 0.290 0.183 0.750
Y 0.832 0.194 0.000
Sm 0.109 0.482 0.250
Sm 0.891 0.518 0.750
Pm 0.358 0.137 0.250
Pm 0.642 0.863 0.750

=====

Record 2
! Pm4SmY5, optimized geometry, DFT GGA-PBE; values from VASP
! offset from the most stable computed form = 172 meV/atom
! space-group type = C2/m
&SYSTEM
  ibrav = 0, nat = 10, ntyp = 3
/
ATOMIC_SPECIES
Y 88.91 Y.upf
Pm 145.00 Pm.upf
Sm 150.36 Sm.upf
CELL_PARAMETERS angstrom
3.495 -0.001 -0.710
-0.126 11.144 -0.608
-0.016 0.484 8.875
ATOMIC_POSITIONS crystal
Y 0.174 0.943 0.349
Y 0.826 0.057 0.651
Y 0.826 0.445 0.652
Y 0.174 0.555 0.348
Y 0.500 0.500 0.000
Pm 0.653 0.250 0.306
Pm 0.029 0.750 0.058
Pm 0.347 0.750 0.694
Pm 0.971 0.250 0.942
Sm 0.500 0.000 0.000

=====

Record 3
! Pm2SmY, optimized geometry, DFT GGA-PBE; values from VASP
! offset from the most stable computed form = 2 meV/atom
! space-group type = R-3m
&SYSTEM
  ibrav = 0, nat = 4, ntyp = 3
/
ATOMIC_SPECIES
Pm 145.00 Pm.upf
Sm 150.36 Sm.upf
Y 88.91 Y.upf
CELL_PARAMETERS angstrom
-1.305 -2.758 1.964
-1.281 -2.962 -1.659
9.898 -6.754 0.448
ATOMIC_POSITIONS crystal
Pm 0.249 0.249 0.252
Pm 0.751 0.751 0.748
Sm 0.000 0.000 0.000
Y 0.500 0.500 0.500

=====

Record 4
! Pm2Sm7Y2, optimized geometry, DFT GGA-PBE; values from VASP
! offset from the most stable computed form = 0 meV/atom
! space-group type = C2/m
&SYSTEM
  ibrav = 0, nat = 11, ntyp = 3
/
ATOMIC_SPECIES
Pm 145.00 Pm.upf
Sm 150.36 Sm.upf
Y 88.91 Y.upf
CELL_PARAMETERS angstrom
-0.046 4.835 8.762
-4.638 -3.930 1.998
5.907 -2.201 1.099
ATOMIC_POSITIONS crystal
Pm 0.283 0.700 0.700
Pm 0.717 0.300 0.300
Sm 0.000 0.000 0.000
Sm 0.852 0.835 0.424
Sm 0.148 0.576 0.165
Sm 0.634 0.819 0.819
Sm 0.148 0.165 0.576
Sm 0.852 0.424 0.835
Sm 0.366 0.181 0.181
Y 0.500 0.725 0.275
Y 0.500 0.275 0.725

=====

Record 5
! Pm12Sm7Y, optimized geometry, DFT GGA-PBE; values from VASP
! offset from the most stable computed form = 0 meV/atom
! space-group type = R-3
&SYSTEM
  ibrav = 0, nat = 20, ntyp = 3
/
ATOMIC_SPECIES
Pm 145.00 Pm.upf
Sm 150.36 Sm.upf
Y 88.91 Y.upf
CELL_PARAMETERS angstrom
8.596 1.238 1.858
-1.201 8.602 1.858
-1.201 -1.598 8.654
ATOMIC_POSITIONS crystal
Pm 0.852 0.255 0.725
Pm 0.384 0.865 0.508
Pm 0.865 0.508 0.384
Pm 0.616 0.135 0.492
Pm 0.275 0.148 0.745
Pm 0.508 0.384 0.865
Pm 0.492 0.616 0.135
Pm 0.148 0.745 0.275
Pm 0.745 0.275 0.148
Pm 0.725 0.852 0.255
Pm 0.135 0.492 0.616
Pm 0.255 0.725 0.852
Sm 0.500 0.500 0.500
Sm 0.926 0.850 0.606
Sm 0.606 0.926 0.850
Sm 0.394 0.074 0.150
Sm 0.850 0.606 0.926
Sm 0.150 0.394 0.074
Sm 0.074 0.150 0.394
Y 0.000 0.000 0.000

=====

Record 6
! Pm3Sm5Y3, optimized geometry, DFT GGA-PBE; values from VASP
! offset from the most stable computed form = 0 meV/atom
! space-group type = P-62m
&SYSTEM
  ibrav = 0, nat = 11, ntyp = 3
/
ATOMIC_SPECIES
Sm 150.36 Sm.upf
Y 88.91 Y.upf
Pm 145.00 Pm.upf
CELL_PARAMETERS angstrom
-0.302 0.798 3.364
-9.158 -6.633 0.753
10.297 -4.315 1.947
ATOMIC_POSITIONS crystal
Sm 0.500 0.000 0.339
Sm 0.500 0.333 0.667
Sm 0.500 0.661 0.661
Sm 0.500 0.667 0.333
Sm 0.500 0.339 0.000
Y 0.500 0.839 0.000
Y 0.500 0.000 0.839
Y 0.500 0.161 0.161
Pm 0.000 0.406 0.406
Pm 0.000 0.000 0.594
Pm 0.000 0.594 0.000

=====

Record 7
! Pm5Sm3Y3, optimized geometry, DFT GGA-PBE; values from VASP
! offset from the most stable computed form = 439 meV/atom
! space-group type = P-62m
&SYSTEM
  ibrav = 0, nat = 11, ntyp = 3
/
ATOMIC_SPECIES
Pm 145.00 Pm.upf
Sm 150.36 Sm.upf
Y 88.91 Y.upf
CELL_PARAMETERS angstrom
-5.119 -0.920 -1.760
3.276 -7.245 -5.741
-2.817 -1.922 9.195
ATOMIC_POSITIONS crystal
Pm 0.500 0.268 0.268
Pm 0.500 0.333 0.667
Pm 0.500 0.732 0.000
Pm 0.500 0.000 0.732
Pm 0.500 0.667 0.333
Sm 0.000 0.576 0.000
Sm 0.000 0.424 0.424
Sm 0.000 0.000 0.576
Y 0.500 0.367 0.000
Y 0.500 0.633 0.633
Y 0.500 0.000 0.367

=====

Record 8
! Pm5SmY3, optimized geometry, DFT GGA-PBE; values from VASP
! offset from the most stable computed form = 0 meV/atom
! space-group type = C2/c
&SYSTEM
  ibrav = 0, nat = 18, ntyp = 3
/
ATOMIC_SPECIES
Pm 145.00 Pm.upf
Y 88.91 Y.upf
Sm 150.36 Sm.upf
CELL_PARAMETERS angstrom
6.805 0.000 0.000
-3.403 7.668 -2.975
0.000 0.216 11.663
ATOMIC_POSITIONS crystal
Pm 0.080 0.343 0.349
Pm 0.394 0.779 0.950
Pm 0.737 0.657 0.151
Pm 0.920 0.657 0.651
Pm 0.684 0.000 0.250
Pm 0.606 0.221 0.050
Pm 0.385 0.779 0.450
Pm 0.263 0.343 0.849
Pm 0.615 0.221 0.550
Pm 0.316 0.000 0.750
Y 0.360 0.520 0.630
Y 0.160 0.520 0.130
Y 0.000 0.000 0.000
Y 0.640 0.480 0.370
Y 0.000 0.000 0.500
Y 0.840 0.480 0.870
Sm 0.760 0.000 0.750
Sm 0.240 0.000 0.250

=====

Record 9
! PmSm12Y7, optimized geometry, DFT GGA-PBE; values from VASP
! offset from the most stable computed form = 524 meV/atom
! space-group type = Im-3
&SYSTEM
  ibrav = 0, nat = 20, ntyp = 3
/
ATOMIC_SPECIES
Sm 150.36 Sm.upf
Y 88.91 Y.upf
Pm 145.00 Pm.upf
CELL_PARAMETERS angstrom
-1.903 -9.449 2.405
6.962 0.277 -7.081
3.245 4.871 8.027
ATOMIC_POSITIONS crystal
Sm 0.504 0.252 0.253
Sm 0.253 0.001 0.748
Sm 0.496 0.748 0.747
Sm 0.253 0.504 0.252
Sm 0.747 0.496 0.748
Sm 0.999 0.252 0.747
Sm 0.747 0.999 0.252
Sm 0.001 0.748 0.253
Sm 0.748 0.747 0.496
Sm 0.252 0.253 0.504
Sm 0.252 0.747 0.999
Sm 0.748 0.253 0.001
Y 0.500 0.000 0.000
Y 0.000 0.500 0.000
Y 0.500 0.500 0.000
Y 0.000 0.000 0.500
Y 0.500 0.000 0.500
Y 0.500 0.500 0.500
Y 0.000 0.500 0.500
Pm 0.000 0.000 0.000

=====

Record 10
! PmSm7Y2, optimized geometry, DFT GGA-PBE; values from VASP
! offset from the most stable computed form = 652 meV/atom
! space-group type = Cmmm
&SYSTEM
  ibrav = 0, nat = 10, ntyp = 3
/
ATOMIC_SPECIES
Sm 150.36 Sm.upf
Pm 145.00 Pm.upf
Y 88.91 Y.upf
CELL_PARAMETERS angstrom
5.464 0.000 0.000
0.000 9.623 -0.819
0.000 -5.072 8.218
ATOMIC_POSITIONS crystal
Sm 0.500 0.289 0.069
Sm 0.500 0.711 0.931
Sm 0.500 0.500 0.500
Sm 0.000 0.798 0.202
Sm 0.500 0.931 0.711
Sm 0.000 0.202 0.798
Sm 0.500 0.069 0.289
Pm 0.000 0.000 0.000
Y 0.500 0.294 0.706
Y 0.500 0.706 0.294

=====

Record 11
! Pm12Sm2Y5, optimized geometry, DFT GGA-PBE; values from VASP
! offset from the most stable computed form = 4 meV/atom
! space-group type = C2/m
&SYSTEM
  ibrav = 0, nat = 19, ntyp = 3
/
ATOMIC_SPECIES
Pm 145.00 Pm.upf
Y 88.91 Y.upf
Sm 150.36 Sm.upf
CELL_PARAMETERS angstrom
10.137 0.000 0.000
-5.069 7.899 1.876
0.000 6.037 9.744
ATOMIC_POSITIONS crystal
Pm 0.097 0.194 0.106
Pm 0.903 0.806 0.894
Pm 0.149 0.796 0.401
Pm 0.452 0.399 0.200
Pm 0.396 0.792 0.909
Pm 0.548 0.601 0.800
Pm 0.851 0.204 0.599
Pm 0.053 0.601 0.800
Pm 0.647 0.796 0.401
Pm 0.947 0.399 0.200
Pm 0.604 0.208 0.091
Pm 0.353 0.204 0.599
Y 0.194 0.388 0.702
Y 0.000 0.000 0.500
Y 0.806 0.612 0.298
Y 0.298 0.595 0.300
Y 0.702 0.405 0.700
Sm 0.250 0.000 0.000
Sm 0.750 0.000 0.000

=====

Record 12
! Pm3Sm4Y5, optimized geometry, DFT GGA-PBE; values from VASP
! offset from the most stable computed form = 205 meV/atom
! space-group type = C2/m
&SYSTEM
  ibrav = 0, nat = 12, ntyp = 3
/
ATOMIC_SPECIES
Sm 150.36 Sm.upf
Y 88.91 Y.upf
Pm 145.00 Pm.upf
CELL_PARAMETERS angstrom
-4.558 -2.583 -2.890
-0.335 -8.431 1.869
-8.292 3.849 3.445
ATOMIC_POSITIONS crystal
Sm 0.861 0.222 0.055
Sm 0.831 0.957 0.381
Sm 0.169 0.043 0.619
Sm 0.139 0.778 0.945
Y 0.373 0.054 0.200
Y 0.627 0.946 0.800
Y 0.785 0.543 0.887
Y 0.500 0.500 0.500
Y 0.215 0.457 0.113
Pm 0.477 0.313 0.732
Pm 0.523 0.687 0.268
Pm 0.000 0.500 0.500

=====

Values for calculated formation energy, kJ per mole of atoms, ordered as above
30 18 1 10 22 33 74 16 67 64 10 21
Values for E_tot, eV per atom, ordered as above
-5.46 -5.42 -5.16 -4.94 -4.60 -4.87 -4.44 -5.15 -4.64 -4.40 -5.10 -5.24